# 1
First-principles (PBE-GGA) data for an optimized crystal structure of BaAs2WSe, as listed in Alexandria.

Output
calculated volume: 25.9 Å³/atom
energy relative to the elements, uncorrected: -0.4144 eV per atom
DOS(E_F): 2.1 states/eV/f.u.
SG: P4/mmm
electronic total energy: -5.95 eV/atom

a b c (Å): 4.908 4.908 5.378
angles (deg): 90.00 90.00 90.00
Fractional positions:
As 0.000 0.500 0.000
As 0.500 0.000 0.000
Se 0.000 0.000 0.500
Ba 0.500 0.500 0.500
W 0.000 0.000 0.000

=====

# 2
First-principles (PBE-GGA) data for an optimized crystal structure of AcLaPm3Dy, as listed in Alexandria.

Output
calculated volume: 36.0 Å³/atom
energy of formation from the pure elements: 0.055 eV per atom
DOS(E_F): 8.5 states/eV/f.u.
SG: P2_1/m
electronic total energy: -4.59 eV/atom

a b c (Å): 5.768 7.059 10.950
angles (deg): 104.09 90.00 90.00
Fractional positions:
Ac 0.250 0.135 0.278
Ac 0.750 0.865 0.722
La 0.250 0.621 0.186
La 0.750 0.379 0.814
Pm 0.750 0.863 0.060
Pm 0.250 0.137 0.940
Pm 0.250 0.630 0.518
Pm 0.750 0.370 0.482
Pm 0.750 0.381 0.147
Pm 0.250 0.619 0.853
Dy 0.250 0.153 0.611
Dy 0.750 0.847 0.389

=====

# 3
First-principles (PBE-GGA) data for an optimized crystal structure of La6Ir2I3Br, as listed in Alexandria.

Output
calculated volume: 33.6 Å³/atom
energy relative to the elements, uncorrected: -1.1316 eV per atom
DOS(E_F): 8.7 states/eV/f.u.
SG: C2/m
electronic total energy: -5.60 eV/atom

a b c (Å): 7.592 7.592 8.468
angles (deg): 98.60 98.60 119.94
Fractional positions:
La 0.934 0.567 0.806
La 0.697 0.697 0.192
La 0.066 0.433 0.194
La 0.567 0.934 0.806
La 0.303 0.303 0.808
La 0.433 0.066 0.194
Ir 0.333 0.667 0.000
Ir 0.667 0.333 0.000
I 0.158 0.842 0.500
I 0.842 0.158 0.500
I 0.500 0.500 0.500
Br 0.000 0.000 0.000